DFT (PBE-GGA) results for a relaxed Al5Ni crystal.

## Properties
As for the total energy: -4.218 eV per atom. For the calculated formation energy, the calculation gives -136 meV per atom. The calculation puts the magnetic moment at 0.0 μB per cell. Its space-group type is Cmmm, No. 65.

Lattice parameters (Å, degrees): 3.9133 11.7427 3.9082 90.00 90.00 90.00
With the nearest neighbours (Å) after each atom.
Element x y z (fractional)
Al (0.0000, 0.0000, 0.0000)  8 Al 2.70-2.71, 4 Ni 2.77
Al (0.0000, 0.1581, 0.5000)  10 Al 2.70-2.91, 2 Ni 2.70
Al (0.0000, 0.3397, 0.0000)  2 Ni 2.71, 10 Al 2.71-2.89
Al (0.0000, 0.6603, 0.0000)  2 Ni 2.71, 10 Al 2.71-2.89
Al (0.0000, 0.8419, 0.5000)  10 Al 2.70-2.91, 2 Ni 2.70
Al (0.5000, 0.1603, 0.0000)  2 Ni 2.71, 10 Al 2.71-2.89
Al (0.5000, 0.3419, 0.5000)  10 Al 2.70-2.91, 2 Ni 2.70
Al (0.5000, 0.5000, 0.0000)  8 Al 2.70-2.71, 4 Ni 2.77
Al (0.5000, 0.6581, 0.5000)  10 Al 2.70-2.91, 2 Ni 2.70
Al (0.5000, 0.8397, 0.0000)  2 Ni 2.71, 10 Al 2.71-2.89
Ni (0.0000, 0.5000, 0.5000)  12 Al 2.70-2.77
Ni (0.5000, 0.0000, 0.5000)  12 Al 2.70-2.77